Computed, not measured: a relaxed ScGaCo4 crystal at the PBE level of DFT.

The structure belongs to space group Cmcm (No. 63); the cell edges are 4.033, 14.821 and 5.304 Å and the angles 90.00°, 90.00° and 90.00°. The asymmetric unit holds Sc at (0.000, 0.123, 0.250), Ga at (0.000, 0.220, 0.750), Co at (0.000, 0.055, 0.750), Co at (0.000, 0.345, 0.036) and Co at (0.000, 0.500, 0.000).

The energy relative to the elements is -115 meV per atom. As for the size of the total moment: 0.701 μB per atom.